1.
Material: La2Be2Fe
Method: DFT, PBE
State: optimized geometry

```
La2Be2Fe
1.0
6.481 0.000 0.000
0.000 6.481 0.000
0.000 0.000 4.510
La Be Fe
4 4 2
Cartesian
1.175 2.065 0.000
2.065 5.306 0.000
4.415 1.175 0.000
5.306 4.415 0.000
0.830 4.070 2.255
2.410 0.830 2.255
4.070 5.650 2.255
5.650 2.410 2.255
0.000 0.000 2.255
3.240 3.240 2.255
```

Calculated values
DOS at the Fermi energy: 1.6968 states/eV/atom
magnetization: 0.002 μB per formula unit
energy relative to the elements: 428 meV per atom
total DFT energy (no corrections): -4.73 eV per atom

***

2.
Material: LaBe2Fe
Method: DFT, PBE
State: optimized geometry

```
LaBe2Fe
1.0
2.827 0.000 0.000
0.000 3.079 0.000
0.000 0.000 6.668
La Be Fe
1 2 1
Cartesian
0.000 0.000 0.000
1.413 1.540 2.299
1.413 1.540 4.368
0.000 0.000 3.334
```

Calculated values
DOS at the Fermi energy: 0.8949 states/eV/atom
magnetization: 1.256 μB per formula unit
energy relative to the elements: 190 meV per atom
total DFT energy (no corrections): -5.02 eV per atom

***

3.
Material: LaBeFe
Method: DFT, PBE
State: optimized geometry

```
LaBeFe
1.0
-1.581 1.581 4.898
1.581 -1.581 4.898
1.581 1.581 -4.898
La Be Fe
1 1 1
Cartesian
0.000 0.000 0.000
0.000 0.000 2.801
0.000 0.000 7.363
```

Calculated values
DOS at the Fermi energy: 0.4133 states/eV/atom
magnetization: 0.000 μB per formula unit
energy relative to the elements: 218 meV per atom
total DFT energy (no corrections): -5.49 eV per atom